# SCAN FeTcPdS2, single point on PBEsol structure
# ΔE_f (raw)	0.92	eV per atom
# VASP energy	-20.12	eV per atom
# N(E_F)	4.10	states/eV/f.u.
data_FeTcPdS2
_chemical_formula_sum 'Fe1 Tc1 Pd1 S2'
_space_group_name_H-M_alt 'P 1'
_space_group_IT_number 1
_cell_length_a 4.2127
_cell_length_b 4.2127
_cell_length_c 4.4002
_cell_angle_alpha 90.00
_cell_angle_beta 90.00
_cell_angle_gamma 90.00
loop_
_space_group_symop_operation_xyz
'x,y,z'
loop_
_atom_site_label
_atom_site_fract_x
_atom_site_fract_y
_atom_site_fract_z
_atom_site_occupancy
Pd1 0.5000 0.5000 0.5000 1
S1 0.5000 0.0000 0.0000 1
S2 0.0000 0.5000 0.0000 1
Fe1 0.0000 0.0000 0.0000 1
Tc1 0.0000 0.0000 0.5000 1